# 1
Entry from Alexandria: PmYSiPt after structural relaxation (PBE).

D(E_F)	1.17	states/eV/f.u.
formation energy from raw total energies	-800	meV per atom
energy above the most stable polymorph in this dataset	197	meV/atom

Unit cell a=7.1457 b=7.1457 c=7.1457 alpha=90.00 beta=90.00 gamma=90.00
Last column: nearest neighbours and their distance in Å.
Space group F-43m (No. 216)
Symmetry-distinct sites (fractional):
1 Pm 0.0000 0.0000 0.0000 [4 per cell]  4 Pt 3.09, 4 Si 3.09
2 Y 0.0000 0.0000 0.5000 [4 per cell]  4 Pt 3.09, 4 Si 3.09
3 Si 0.2500 0.2500 0.2500 [4 per cell]  4 Pm 3.09, 4 Y 3.09
4 Pt 0.2500 0.2500 0.7500 [4 per cell]  4 Pm 3.09, 4 Y 3.09

=====

# 2
Entry from Alexandria: HfTl4Cl2 after structural relaxation (PBE).

D(E_F)	6.07	states/eV/f.u.
formation energy from raw total energies	-17	meV per atom

Unit cell a=5.6516 b=5.6516 c=17.4292 alpha=90.00 beta=90.00 gamma=90.00
Last column: nearest neighbours and their distance in Å.
Space group I4/mmm (No. 139)
Symmetry-distinct sites (fractional):
1 Hf 0.0000 0.0000 0.0000 [2 per cell]  6 Tl 2.83-2.87
2 Tl 0.0000 0.0000 0.1649 [4 per cell]  1 Cl 2.54
3 Tl 0.0000 0.5000 0.0000 [4 per cell]  2 Hf 2.83
4 Cl 0.0000 0.0000 0.3104 [4 per cell]  1 Tl 2.54

=====

# 3
Entry from Alexandria: KRb2HI6 after structural relaxation (PBE).

D(E_F)	13.39	states/eV/f.u.
total DFT energy (no corrections)	-2.091	eV/atom

Unit cell a=8.0172 b=8.0172 c=14.7302 alpha=90.00 beta=90.00 gamma=90.00
Last column: nearest neighbours and their distance in Å.
Space group I4/mmm (No. 139)
Symmetry-distinct sites (fractional):
1 K 0.0000 0.0000 0.0000 [2 per cell]  6 I 3.31-3.42
2 Rb 0.0000 0.5000 0.2500 [4 per cell]  4 I 4.02
3 H 0.0000 0.0000 0.5000 [2 per cell]  4 I 2.36
4 I 0.0000 0.0000 0.2322 [4 per cell]  1 K 3.42
5 I 0.2079 0.2079 0.5000 [8 per cell]  1 H 2.36

=====

| no. | calculated volume (Å³/f.u.) |
| --- | --- |
| 1 | 91.2 |
| 2 | 278.3 |
| 3 | 473.4 |